# 1
{
  "formula": "Pr3Dy",
  "functional": "PBE",
  "state": "relaxed",
  "lattice": [[-1.8526, 5.9651, 3.1938], [1.8526, -5.9651, 3.1938], [1.8526, 5.9651, -3.1938]],
  "species": ["Pr", "Pr", "Pr", "Dy"],
  "fractional_positions": [[0.0000, 0.0000, 0.0000], [0.0857, 0.3335, 0.7522], [0.5814, 0.3335, 0.2478], [0.5010, 0.0010, 0.5000]],
  "de_polymorph_mev_per_atom": 18,
  "final_energy_ev_per_atom": -4.70,
  "formation_energy_ev_per_atom": 0.0325
}


# 2
{
  "formula": "HfCuPS2",
  "functional": "PBE",
  "state": "relaxed",
  "lattice": [[4.4153, 0.0000, 0.0000], [0.0000, 4.4153, 0.0000], [0.0000, 0.0000, 4.5425]],
  "species": ["Hf", "Cu", "P", "S", "S"],
  "fractional_positions": [[0.0000, 0.0000, 0.0000], [0.5000, 0.5000, 0.5000], [0.5000, 0.5000, 0.0000], [0.0000, 0.5000, 0.5000], [0.5000, 0.0000, 0.5000]],
  "formation_energy_uncorrected_mev_per_atom": 238.8,
  "de_polymorph_mev_per_atom": 96,
  "final_energy_ev_per_atom": -5.30
}


# 3
{
  "formula": "LaHoPb2O8",
  "functional": "PBE",
  "state": "relaxed",
  "lattice": [[-2.8332, 2.8332, 5.4075], [2.8332, -2.8332, 5.4075], [2.8332, 2.8332, -5.4075]],
  "species": ["La", "Ho", "Pb", "Pb", "O", "O", "O", "O", "O", "O", "O", "O"],
  "fractional_positions": [[0.0000, 0.0000, 0.0000], [0.7500, 0.2500, 0.5000], [0.2500, 0.7500, 0.5000], [0.5000, 0.5000, 0.0000], [0.0927, 0.6286, 0.0342], [0.1396, 0.2043, 0.5465], [0.3714, 0.4056, 0.4641], [0.4069, 0.8604, 0.0647], [0.5944, 0.0585, 0.9658], [0.6578, 0.5931, 0.4535], [0.7957, 0.3422, 0.9353], [0.9415, 0.9073, 0.5359]],
  "formation_energy_uncorrected_mev_per_atom": -1745.6,
  "final_energy_ev_per_atom": -6.46
}


# 4
{
  "formula": "CoPb3",
  "functional": "PBE",
  "state": "relaxed",
  "lattice": [[-1.6583, 2.2407, 6.8613], [1.6583, -2.2407, 6.8613], [1.6583, 2.2407, -6.8613]],
  "species": ["Co", "Pb", "Pb", "Pb"],
  "fractional_positions": [[0.0000, 0.0000, 0.0000], [0.1755, 0.6755, 0.5000], [0.5000, 0.5000, 0.0000], [0.8245, 0.3245, 0.5000]],
  "final_energy_ev_per_atom": -4.25,
  "formation_energy_ev_per_atom": 0.3091
}


# 5
{
  "formula": "GaI",
  "functional": "PBE",
  "state": "relaxed",
  "lattice": [[4.4119, 0.0000, 0.0000], [0.0000, 14.8110, 0.0000], [0.0000, 0.0000, 7.3991]],
  "species": ["Ga", "Ga", "Ga", "Ga", "Ga", "Ga", "I", "I", "I", "I", "I", "I"],
  "fractional_positions": [[0.2500, 0.1223, 0.0501], [0.2500, 0.3777, 0.0501], [0.2500, 0.7500, 0.7911], [0.7500, 0.2500, 0.2089], [0.7500, 0.6223, 0.9499], [0.7500, 0.8777, 0.9499], [0.2500, 0.2500, 0.4710], [0.2500, 0.5200, 0.7521], [0.2500, 0.9800, 0.7521], [0.7500, 0.0200, 0.2479], [0.7500, 0.4800, 0.2479], [0.7500, 0.7500, 0.5290]],
  "formation_energy_uncorrected_mev_per_atom": -284.5,
  "final_energy_ev_per_atom": -2.57
}


# 6
{
  "formula": "Dy19Er4Sc6",
  "functional": "PBE",
  "state": "relaxed",
  "lattice": [[-6.1167, 6.1167, 6.1167], [6.1167, -6.1167, 6.1167], [6.1167, 6.1167, -6.1167]],
  "species": ["Dy", "Dy", "Dy", "Dy", "Dy", "Dy", "Dy", "Dy", "Dy", "Dy", "Dy", "Dy", "Dy", "Dy", "Dy", "Dy", "Dy", "Dy", "Dy", "Er", "Er", "Er", "Er", "Sc", "Sc", "Sc", "Sc", "Sc", "Sc"],
  "fractional_positions": [[0.0000, 0.0000, 0.0000], [0.0000, 0.2652, 0.2652], [0.0000, 0.7348, 0.7348], [0.0083, 0.2230, 0.6679], [0.2146, 0.9917, 0.6595], [0.2230, 0.6679, 0.0083], [0.2652, 0.0000, 0.2652], [0.2652, 0.2652, 0.0000], [0.3321, 0.5551, 0.3405], [0.3405, 0.3321, 0.5551], [0.4449, 0.7770, 0.7854], [0.5551, 0.3405, 0.3321], [0.6595, 0.2146, 0.9917], [0.6679, 0.0083, 0.2230], [0.7348, 0.0000, 0.7348], [0.7348, 0.7348, 0.0000], [0.7770, 0.7854, 0.4449], [0.7854, 0.4449, 0.7770], [0.9917, 0.6595, 0.2146], [0.0000, 0.0000, 0.3573], [0.0000, 0.3573, 0.0000], [0.3573, 0.0000, 0.0000], [0.6427, 0.6427, 0.6427], [0.1173, 0.5000, 0.6173], [0.3827, 0.8827, 0.5000], [0.5000, 0.3827, 0.8827], [0.5000, 0.6173, 0.1173], [0.6173, 0.1173, 0.5000], [0.8827, 0.5000, 0.3827]],
  "final_energy_ev_per_atom": -4.56,
  "formation_energy_ev_per_atom": 0.3944
}